Record 1
Below is crystalline Ca4Zn2Hg at its relaxed geometry, with properties calculated at the PBE level.

The structure in CIF format:
```
data_Ca4Zn2Hg
_chemical_formula_sum 'Ca12 Zn6 Hg3'
_space_group_name_H-M_alt 'R -3 m'
_space_group_IT_number 166
_space_group_name_Hall '-R 3 2"'
_cell_length_a 5.2805
_cell_length_b 5.2805
_cell_length_c 25.2849
_cell_angle_alpha 90.00
_cell_angle_beta 90.00
_cell_angle_gamma 120.00
loop_
_atom_site_label
_atom_site_type_symbol
_atom_site_fract_x
_atom_site_fract_y
_atom_site_fract_z
Ca1 Ca 0.0000 0.0000 0.1230
Ca2 Ca 0.0000 0.0000 0.3742
Zn1 Zn 0.0000 0.0000 0.2492
Hg1 Hg 0.0000 0.0000 0.5000
```

- Formation energy from the elements: -0.256 eV per atom

Record 2
Below is crystalline Er2RuSe at its relaxed geometry, with properties calculated at the PBE level.

The structure in CIF format:
```
data_Er2RuSe
_chemical_formula_sum 'Er2 Ru1 Se1'
_space_group_name_H-M_alt 'P 4/m m m'
_space_group_IT_number 123
_space_group_name_Hall '-P 4 2'
_cell_length_a 3.434
_cell_length_b 3.434
_cell_length_c 7.136
_cell_angle_alpha 90.00
_cell_angle_beta 90.00
_cell_angle_gamma 90.00
loop_
_atom_site_label
_atom_site_type_symbol
_atom_site_fract_x
_atom_site_fract_y
_atom_site_fract_z
Er1 Er 0.000 0.000 0.233
Ru1 Ru 0.500 0.500 0.000
Se1 Se 0.500 0.500 0.500
```

- Energy relative to the lowest polymorph listed for this composition: 0.0 meV/atom
- Raw formation energy: -3.91 eV per formula unit

- What is the formula in the second record?
  Er2RuSe